Compound: PmErCuTc
Source: the Alexandria database
Functional: PBE
Structure: optimized geometry

a b c (Å): 4.911 4.911 4.911
angles (deg): 60.00 60.00 60.00
Fractional positions:
Pm (0.500, 0.500, 0.500)
Tc (0.750, 0.750, 0.750)
Cu (0.250, 0.250, 0.250)
Er (0.000, 0.000, 0.000)

Computed properties:
The value obtained for the energy is -5.9862 eV/atom. The calculation puts the density of states at the Fermi level at 3.92 states/eV/f.u. For the calculated formation energy, the calculation gives -0.2 eV per formula unit. For the size of the total moment, the calculation gives 0.000 μB/f.u.



Compound: RbCaAcI6
Source: the Alexandria database
Functional: PBE
Structure: optimized geometry

a b c (Å): 8.330 8.330 16.062
angles (deg): 90.00 90.00 120.00
Fractional positions:
Rb (0.000, 0.000, 0.000)
Rb (0.000, 0.000, 0.500)
Ca (0.667, 0.333, 0.250)
Ca (0.333, 0.667, 0.750)
Ac (0.333, 0.667, 0.250)
Ac (0.667, 0.333, 0.750)
I (0.636, 0.626, 0.135)
I (0.989, 0.364, 0.135)
I (0.364, 0.989, 0.635)
I (0.011, 0.636, 0.865)
I (0.374, 0.364, 0.365)
I (0.989, 0.626, 0.365)
I (0.626, 0.989, 0.865)
I (0.636, 0.011, 0.365)
I (0.011, 0.374, 0.635)
I (0.374, 0.011, 0.135)
I (0.626, 0.636, 0.635)
I (0.364, 0.374, 0.865)

Computed properties:
The value obtained for the energy is -3.3855 eV/atom. The calculation puts the density of states at the Fermi level at 0.00 states/eV/f.u. Its uncorrected formation energy is -14.1 eV/f.u. For the size of the total moment, the calculation gives 0.000 μB/f.u.



Compound: KBeZn
Source: the Alexandria database
Functional: PBE
Structure: optimized geometry

a b c (Å): 4.921 4.921 4.921
angles (deg): 60.00 60.00 60.00
Fractional positions:
Be (0.000, 0.000, 0.000)
Zn (0.250, 0.250, 0.250)
K (0.500, 0.500, 0.500)

Computed properties:
The value obtained for the energy is -1.1097 eV/atom. The calculation puts the density of states at the Fermi level at 2.44 states/eV/f.u. Its excess energy over the best structure of this formula in the dataset is 482.9 meV per atom. For the calculated formation energy, the calculation gives 2.8 eV per formula unit. For the size of the total moment, the calculation gives 0.000 μB/f.u.



Q: Among the records above, which one has the highest density of states at the Fermi level?
A: PmErCuTc



Q: Which formula does entry 2 have?
A: RbCaAcI6